A relaxed ReSbPt2 crystal. Source: Alexandria, functional GGA-PBE.

Calculated values
Theoretical density = 17.01 g cm⁻³
E_form (uncorrected) = 0.1750 eV/atom

a = 2.909 Å, b = 4.550 Å, c = 5.148 Å
α = 90.00°, β = 90.00°, γ = 90.00°
Space group Pmm2 (No. 25)
Asymmetric unit:
Re  0.000  0.000  0.000
Sb  0.000  0.500  0.667
Pt  0.500  0.000  0.460
Pt  0.500  0.500  0.142